Below is an optimized crystal structure of Nd2ErHg5, with properties calculated at the PBE-GGA level.

Cell and atoms, written as CIF:
```
data_Nd2ErHg5
_chemical_formula_sum 'Nd2 Er1 Hg5'
_cell_length_a 5.210
_cell_length_b 5.210
_cell_length_c 8.439
_cell_angle_alpha 107.98
_cell_angle_beta 107.98
_cell_angle_gamma 90.00
_symmetry_space_group_name_H-M 'P 1'
_symmetry_Int_Tables_number 1
loop_
_symmetry_equiv_pos_as_xyz
'x,y,z'
loop_
_atom_site_label
_atom_site_type_symbol
_atom_site_fract_x
_atom_site_fract_y
_atom_site_fract_z
Nd1 Nd 0.737 0.737 0.473
Nd2 Nd 0.263 0.263 0.527
Hg1 Hg 0.500 0.500 0.000
Hg2 Hg 0.117 0.617 0.234
Hg3 Hg 0.883 0.383 0.766
Hg4 Hg 0.617 0.117 0.234
Hg5 Hg 0.383 0.883 0.766
Er1 Er 0.000 0.000 0.000
```

- space group = I4/mmm
- formation energy from the elements (eV/f.u.) = -3.24